No. 1
Compound: SrBe2Ni
Source: the Alexandria database
Functional: GGA-PBE
Structure: optimized geometry Values from VASP.

```
&SYSTEM
  ibrav = 0, nat = 4, ntyp = 3
/
ATOMIC_SPECIES
Sr 87.62 Sr.upf
Be 9.01 Be.upf
Ni 58.69 Ni.upf
ATOMIC_POSITIONS crystal
Sr 0.500 0.000 0.500
Be 0.000 0.000 0.000
Be 0.000 0.500 0.500
Ni 0.500 0.500 0.000
CELL_PARAMETERS angstrom
-0.844 -3.589 -2.778
3.631 -1.235 0.492
-1.126 -2.095 3.049
```

Computed properties:
The energy relative to the elements is 0.8180 eV/atom. As for the space-group type: P4/mmm. Its density of states at the Fermi level is 1.42 states/eV/cell. The energy relative to the lowest polymorph listed for this composition is 888 meV per atom. As for the size of the total moment: 0.00 μB per cell.

No. 2
Compound: SrBeNi2W
Source: the Alexandria database
Functional: GGA-PBE
Structure: optimized geometry Values from VASP.

```
&SYSTEM
  ibrav = 0, nat = 5, ntyp = 4
/
ATOMIC_SPECIES
Sr 87.62 Sr.upf
Be 9.01 Be.upf
W 183.84 W.upf
Ni 58.69 Ni.upf
ATOMIC_POSITIONS crystal
Sr 0.500 0.500 0.500
Be 0.000 0.500 0.000
W 0.000 0.000 0.000
Ni 0.000 0.000 0.500
Ni 0.500 0.000 0.000
CELL_PARAMETERS angstrom
-0.400 -3.905 2.477
-0.022 -2.487 -3.924
4.625 -0.350 0.196
```

Computed properties:
The energy relative to the elements is 0.7239 eV/atom. As for the space-group type: P4/mmm. Its density of states at the Fermi level is 4.30 states/eV/cell. As for the size of the total moment: 0.00 μB per cell.

No. 3
Compound: SrY2BeNi
Source: the Alexandria database
Functional: GGA-PBE
Structure: optimized geometry Values from VASP.

```
&SYSTEM
  ibrav = 0, nat = 5, ntyp = 4
/
ATOMIC_SPECIES
Y 88.91 Y.upf
Sr 87.62 Sr.upf
Be 9.01 Be.upf
Ni 58.69 Ni.upf
ATOMIC_POSITIONS crystal
Y 0.000 0.000 0.500
Y 0.500 0.000 0.000
Sr 0.000 0.500 0.000
Be 0.500 0.500 0.500
Ni 0.000 0.000 0.000
CELL_PARAMETERS angstrom
5.177 0.000 0.000
0.000 5.642 0.000
0.000 0.000 5.177
```

Computed properties:
The energy relative to the elements is 0.4145 eV/atom. As for the space-group type: P4/mmm. Its density of states at the Fermi level is 7.67 states/eV/cell. As for the size of the total moment: 0.00 μB per cell.

Number 3 is which compound? SrY2BeNi

Which value of size of the total moment does entry 1 give? 0.00 μB per cell

Which value of energy relative to the elements does entry 3 give? 0.4145 eV/atom